## CoAgS2 (PBE-GGA)

Data for CoAgS2 after structural relaxation.

Density ... 5.49 g/cm3
Total energy ... -4.55 eV per atom
ΔE_f (raw) ... 0.000 eV per atom
DOS(E_F) ... 3.36 states/eV/f.u.

a b c (Å): 7.170 7.170 5.433
angles (deg): 90.00 90.00 90.00
Space group I4/mcm (No. 140)
Inequivalent atoms, fractional coordinates:
Co 0.000 0.500 0.250 (multiplicity 4)
Ag 0.000 0.000 0.250 (multiplicity 4)
S 0.163 0.337 0.000 (multiplicity 8)